Crystalline PmTl3Mo2O9 at its relaxed geometry. Source: the Alexandria database, functional GGA+U.

SG ... P-3m1, No. 164
E ... -6.33 eV per atom

a = 5.9253 Å, b = 5.9253 Å, c = 7.4031 Å
α = 90.00°, β = 90.00°, γ = 120.00°
Fractional coordinates of all 15 atoms:
Pm 0.0000 0.0000 0.0000
Tl 0.0000 0.0000 0.5000
Tl 0.3333 0.6667 0.1901
Tl 0.6667 0.3333 0.8099
Mo 0.3333 0.6667 0.6638
Mo 0.6667 0.3333 0.3362
O 0.0000 0.5000 0.5000
O 0.1808 0.3616 0.8032
O 0.1808 0.8192 0.8032
O 0.3616 0.1808 0.1968
O 0.5000 0.0000 0.5000
O 0.5000 0.5000 0.5000
O 0.6384 0.8192 0.8032
O 0.8192 0.1808 0.1968
O 0.8192 0.6384 0.1968